Entry from Alexandria: TaZn2Fe2 after structural relaxation (PBE).

Properties
Distance to the lowest polymorph of the same formula in meV per atom: 27
Size of the total moment in μB per cell: 8.6
Density of states at the Fermi level in states/eV per atom: 0.871

CIF file:
```
data_TaZn2Fe2
_symmetry_space_group_name_H-M 'P 4/m b m'
_symmetry_Int_Tables_number 127
_symmetry_space_group_name_Hall '-P 4 2ab'
_cell_length_a 7.180
_cell_length_b 7.180
_cell_length_c 2.693
_cell_angle_alpha 90.00
_cell_angle_beta 90.00
_cell_angle_gamma 90.00
loop_
_atom_site_label
_atom_site_type_symbol
_atom_site_fract_x
_atom_site_fract_y
_atom_site_fract_z
Ta1 Ta 0.000 0.000 0.000
Zn1 Zn 0.178 0.322 0.500
Fe1 Fe 0.118 0.618 0.000
```